(1)
Material: MgZrCd
Method: DFT, GGA-PBEsol
State: relaxed

## Properties
* magnetic moment: 0.00 μB/cell
* DOS at the Fermi energy: 5.07 states/eV per cell
* E_form: -0.099 eV per atom

```
data_MgZrCd
_chemical_formula_sum 'Mg2 Zr2 Cd2'
_cell_length_a 3.114
_cell_length_b 3.114
_cell_length_c 12.886
_cell_angle_alpha 90.00
_cell_angle_beta 90.00
_cell_angle_gamma 90.00
_symmetry_space_group_name_H-M 'I 4 m m'
_symmetry_Int_Tables_number 107
_symmetry_space_group_name_Hall 'I 4 -2'
loop_
_atom_site_label
_atom_site_fract_x
_atom_site_fract_y
_atom_site_fract_z
Mg1 0.000 0.000 0.000
Zr1 0.000 0.000 0.675
Cd1 0.000 0.000 0.341
```

=====

(2)
Material: MgZrCd
Method: DFT, GGA-PBEsol
State: relaxed

## Properties
* magnetic moment: 0.00 μB/cell
* DOS at the Fermi energy: 2.96 states/eV per cell
* E_form: -0.032 eV per atom

```
data_MgZrCd
_chemical_formula_sum 'Mg1 Zr1 Cd1'
_cell_length_a 4.8211
_cell_length_b 4.8211
_cell_length_c 3.1014
_cell_angle_alpha 90.00
_cell_angle_beta 90.00
_cell_angle_gamma 120.00
_symmetry_space_group_name_H-M 'P -6 m 2'
_symmetry_Int_Tables_number 187
_symmetry_space_group_name_Hall 'P -6 2'
loop_
_atom_site_label
_atom_site_fract_x
_atom_site_fract_y
_atom_site_fract_z
Mg1 0.0000 0.0000 0.0000
Zr1 0.3333 0.6667 0.5000
Cd1 0.6667 0.3333 0.0000
```

=====

(3)
Material: MgZrCd
Method: DFT, GGA-PBEsol
State: relaxed

## Properties
* magnetic moment: 0.00 μB/cell
* DOS at the Fermi energy: 3.46 states/eV per cell
* E_form: -0.121 eV per atom

```
data_MgZrCd
_chemical_formula_sum 'Mg2 Zr2 Cd2'
_cell_length_a 3.145
_cell_length_b 3.145
_cell_length_c 12.850
_cell_angle_alpha 90.00
_cell_angle_beta 90.00
_cell_angle_gamma 90.00
_symmetry_space_group_name_H-M 'P 4/n m m'
_symmetry_Int_Tables_number 129
loop_
_symmetry_equiv_pos_as_xyz
'x,y,z'
'-x,-y,-z'
'-y+1/2,x,z'
'y+1/2,-x,-z'
'-x+1/2,-y+1/2,z'
'x+1/2,y+1/2,-z'
'y,-x+1/2,z'
'-y,x+1/2,-z'
'x+1/2,-y,-z'
'-x+1/2,y,z'
'-y,-x,-z'
'y,x,z'
'-x,y+1/2,-z'
'x,-y+1/2,z'
'y+1/2,x+1/2,-z'
'-y+1/2,-x+1/2,z'
loop_
_atom_site_label
_atom_site_fract_x
_atom_site_fract_y
_atom_site_fract_z
Mg1 0.250 0.250 0.087
Zr1 0.250 0.250 0.413
Cd1 0.250 0.250 0.757
```

=====

(4)
Material: Mn3Cd
Method: DFT, GGA-PBEsol
State: relaxed

## Properties
* magnetic moment: 13.40 μB/cell
* DOS at the Fermi energy: 19.14 states/eV per cell
* E_form: 0.490 eV per atom

```
data_Mn3Cd
_chemical_formula_sum 'Mn12 Cd4'
_cell_length_a 6.143
_cell_length_b 6.143
_cell_length_c 6.143
_cell_angle_alpha 90.00
_cell_angle_beta 90.00
_cell_angle_gamma 90.00
_symmetry_space_group_name_H-M 'F m -3 m'
_symmetry_Int_Tables_number 225
_symmetry_space_group_name_Hall '-F 4 2 3'
loop_
_atom_site_label
_atom_site_fract_x
_atom_site_fract_y
_atom_site_fract_z
Mn1 0.000 0.000 0.000
Mn2 0.250 0.250 0.250
Cd1 0.000 0.000 0.500
```

=====

(5)
Material: Mn3Cd
Method: DFT, GGA-PBEsol
State: relaxed

## Properties
* magnetic moment: 2.91 μB/cell
* DOS at the Fermi energy: 4.24 states/eV per cell
* E_form: 0.477 eV per atom

```
data_Mn3Cd
_chemical_formula_sum 'Mn3 Cd1'
_cell_length_a 2.672
_cell_length_b 4.377
_cell_length_c 4.736
_cell_angle_alpha 90.00
_cell_angle_beta 90.00
_cell_angle_gamma 90.00
_symmetry_space_group_name_H-M 'P m m 2'
_symmetry_Int_Tables_number 25
_symmetry_space_group_name_Hall 'P 2 -2'
loop_
_atom_site_label
_atom_site_fract_x
_atom_site_fract_y
_atom_site_fract_z
Mn1 0.000 0.000 0.000
Mn2 0.000 0.500 0.313
Mn3 0.500 0.500 0.868
Cd1 0.500 0.000 0.507
```

=====

(6)
Material: MnCd3
Method: DFT, GGA-PBEsol
State: relaxed

## Properties
* magnetic moment: 7.06 μB/cell
* DOS at the Fermi energy: 5.39 states/eV per cell
* E_form: 0.252 eV per atom

```
data_MnCd3
_chemical_formula_sum 'Mn2 Cd6'
_cell_length_a 3.122
_cell_length_b 4.821
_cell_length_c 9.914
_cell_angle_alpha 90.00
_cell_angle_beta 90.00
_cell_angle_gamma 90.00
_symmetry_space_group_name_H-M 'I m m m'
_symmetry_Int_Tables_number 71
_symmetry_space_group_name_Hall '-I 2 2'
loop_
_atom_site_label
_atom_site_fract_x
_atom_site_fract_y
_atom_site_fract_z
Mn1 0.000 0.000 0.000
Cd1 0.000 0.000 0.500
Cd2 0.000 0.500 0.269
```

=====

(7)
Material: MnCd2Mo
Method: DFT, GGA-PBEsol
State: relaxed

## Properties
* magnetic moment: 7.06 μB/cell
* offset from the most stable computed form: 0.017 eV per atom
* DOS at the Fermi energy: 6.31 states/eV per cell
* E_form: 0.476 eV per atom

```
data_MnCd2Mo
_chemical_formula_sum 'Mn2 Cd4 Mo2'
_cell_length_a 5.641
_cell_length_b 8.647
_cell_length_c 2.752
_cell_angle_alpha 90.00
_cell_angle_beta 90.00
_cell_angle_gamma 90.00
_symmetry_space_group_name_H-M 'C m m m'
_symmetry_Int_Tables_number 65
_symmetry_space_group_name_Hall '-C 2 2'
loop_
_atom_site_label
_atom_site_fract_x
_atom_site_fract_y
_atom_site_fract_z
Mn1 0.000 0.000 0.000
Cd1 0.250 0.250 0.500
Mo1 0.000 0.500 0.000
```

=====

(8)
Material: MnCd3Mo
Method: DFT, GGA-PBEsol
State: relaxed

## Properties
* magnetic moment: 3.93 μB/cell
* DOS at the Fermi energy: 5.67 states/eV per cell
* E_form: 1.560 eV per atom

```
data_MnCd3Mo
_chemical_formula_sum 'Mn1 Cd3 Mo1'
_cell_length_a 5.141
_cell_length_b 5.141
_cell_length_c 5.141
_cell_angle_alpha 90.00
_cell_angle_beta 90.00
_cell_angle_gamma 90.00
_symmetry_space_group_name_H-M 'P m -3 m'
_symmetry_Int_Tables_number 221
_symmetry_space_group_name_Hall '-P 4 2 3'
loop_
_atom_site_label
_atom_site_fract_x
_atom_site_fract_y
_atom_site_fract_z
Mn1 0.000 0.000 0.000
Cd1 0.000 0.500 0.500
Mo1 0.500 0.500 0.500
```

=====

Number 1: raw total energy -4.0999 eV/atom. Number 2: raw total energy -4.0333 eV/atom. Number 3: raw total energy -4.1219 eV/atom. Number 4: raw total energy -7.1303 eV/atom. Number 5: raw total energy -7.1435 eV/atom. Number 6: raw total energy -3.0860 eV/atom. Number 7: raw total energy -5.5044 eV/atom. Number 8: raw total energy -3.4643 eV/atom.